## CuMoCBr2 (PBE)

Data for CuMoCBr2 after structural relaxation.

Structure (CIF):
```
data_CuMoCBr2
_chemical_formula_sum 'Cu1 Mo1 C1 Br2'
_symmetry_space_group_name_H-M 'P 4/m m m'
_symmetry_Int_Tables_number 123
_symmetry_space_group_name_Hall '-P 4 2'
_cell_length_a 5.372
_cell_length_b 5.372
_cell_length_c 3.637
_cell_angle_alpha 90.00
_cell_angle_beta 90.00
_cell_angle_gamma 90.00
loop_
_atom_site_label
_atom_site_type_symbol
_atom_site_fract_x
_atom_site_fract_y
_atom_site_fract_z
Cu1 Cu 0.000 0.000 0.000
Mo1 Mo 0.500 0.500 0.500
C1 C 0.000 0.000 0.500
Br1 Br 0.000 0.500 0.000
```

Output
Fermi-level density of states: 3.7 states/eV/f.u.
total magnetization: 4.56 μB per formula unit
E_form (uncorrected): 1.465 eV/atom
VASP energy: -20.2 eV for the cell shown
crystal system: tetragonal


## CuCBrN2 (PBE)

Data for CuCBrN2 after structural relaxation.

Structure (CIF):
```
data_CuCBrN2
_chemical_formula_sum 'Cu1 C1 Br1 N2'
_symmetry_space_group_name_H-M 'P 4/m m m'
_symmetry_Int_Tables_number 123
_symmetry_space_group_name_Hall '-P 4 2'
_cell_length_a 3.632
_cell_length_b 3.632
_cell_length_c 6.196
_cell_angle_alpha 90.00
_cell_angle_beta 90.00
_cell_angle_gamma 90.00
loop_
_atom_site_label
_atom_site_type_symbol
_atom_site_fract_x
_atom_site_fract_y
_atom_site_fract_z
Cu1 Cu 0.000 0.000 0.000
C1 C 0.500 0.500 0.000
Br1 Br 0.000 0.000 0.500
N1 N 0.000 0.500 0.500
```

Output
Fermi-level density of states: 4.5 states/eV/f.u.
total magnetization: 0.31 μB per formula unit
E_form (uncorrected): 3.374 eV/atom
VASP energy: -14.8 eV for the cell shown
crystal system: tetragonal
distance to the lowest polymorph of the same formula: 867 meV/atom